No. 1
The following is a GGA-PBE calculation of a relaxed structure of InBPt2, from Alexandria via LeMat-Bulk.

a = 6.2116 Å, b = 6.2116 Å, c = 6.2116 Å
α = 125.53°, β = 125.53°, γ = 80.67°
With the nearest neighbours (Å) after each atom.
Element x y z (fractional)
1 In 0.0000 0.0000 0.0000  4 Pt 2.70
2 In 0.7500 0.2500 0.5000  4 Pt 2.70
3 B 0.2500 0.7500 0.5000  4 Pt 2.05
4 B 0.5000 0.5000 0.0000  4 Pt 2.05
5 Pt 0.2216 0.6250 0.0966  2 B 2.05
6 Pt 0.3750 0.4716 0.5966  2 B 2.05
7 Pt 0.5284 0.1250 0.9034  2 B 2.05
8 Pt 0.8750 0.7784 0.4034  2 B 2.05

## Properties
The calculated volume is 153 Å³/cell. The density of states at the Fermi level is 2.7 states/eV per cell. The total energy is -43.7 eV for the cell shown.

***

No. 2
The following is a GGA-PBE calculation of a relaxed structure of InB3Pt, from Alexandria via LeMat-Bulk.

a = 4.2286 Å, b = 4.2286 Å, c = 4.2286 Å
α = 90.00°, β = 90.00°, γ = 90.00°
With the nearest neighbours (Å) after each atom.
Element x y z (fractional)
1 In 0.0000 0.0000 0.0000  12 B 2.99
2 B 0.0000 0.5000 0.5000  2 Pt 2.11
3 B 0.5000 0.0000 0.5000  2 Pt 2.11
4 B 0.5000 0.5000 0.0000  2 Pt 2.11
5 Pt 0.5000 0.5000 0.5000  6 B 2.11

## Properties
The calculated volume is 76 Å³/cell. The density of states at the Fermi level is 3.0 states/eV per cell. The total energy is -23.3 eV for the cell shown. The calculation puts the excess energy over the best structure of this formula in the dataset at 0.000 eV/atom.

***

no.,density (g/cm3)
1,11.191
2,7.518